Below is crystalline Sc3CoBr at its relaxed geometry, with properties calculated at the PBEsol level.

a = 4.834 Å, b = 4.834 Å, c = 4.834 Å
α = 90.00°, β = 90.00°, γ = 90.00°
Fractional coordinates of all 5 atoms:
Sc  0.000  0.000  0.500
Sc  0.000  0.500  0.000
Sc  0.500  0.000  0.000
Co  0.500  0.500  0.500
Br  0.000  0.000  0.000

Properties
E_form (uncorrected)	1.8	eV/f.u.


Below is crystalline ScCo2Br at its relaxed geometry, with properties calculated at the PBEsol level.

a = 7.949 Å, b = 7.949 Å, c = 7.949 Å
α = 22.17°, β = 22.17°, γ = 22.17°
Fractional coordinates of all 4 atoms:
Sc  0.000  0.000  0.000
Co  0.248  0.248  0.248
Co  0.752  0.752  0.752
Br  0.500  0.500  0.500

Properties
E_form (uncorrected)	1.5	eV/f.u.
distance to the lowest polymorph of the same formula	15.2	kJ per mole of atoms


Below is crystalline ScCo2Br at its relaxed geometry, with properties calculated at the PBEsol level.

a = 4.321 Å, b = 4.321 Å, c = 4.321 Å
α = 60.00°, β = 60.00°, γ = 60.00°
Fractional coordinates of all 4 atoms:
Sc  0.000  0.000  0.000
Co  0.250  0.250  0.250
Co  0.750  0.750  0.750
Br  0.500  0.500  0.500

Properties
E_form (uncorrected)	1.5	eV/f.u.
distance to the lowest polymorph of the same formula	15.5	kJ per mole of atoms


Below is crystalline Co3SeBr at its relaxed geometry, with properties calculated at the PBEsol level.

a = 4.467 Å, b = 4.467 Å, c = 4.467 Å
α = 90.00°, β = 90.00°, γ = 90.00°
Fractional coordinates of all 5 atoms:
Co  0.000  0.000  0.500
Co  0.000  0.500  0.000
Co  0.500  0.000  0.000
Se  0.000  0.000  0.000
Br  0.500  0.500  0.500

Properties
E_form (uncorrected)	4.0	eV/f.u.


Below is crystalline CoSiSeBr2 at its relaxed geometry, with properties calculated at the PBEsol level.

a = 4.703 Å, b = 4.703 Å, c = 4.697 Å
α = 90.00°, β = 90.00°, γ = 90.00°
Fractional coordinates of all 5 atoms:
Co  0.000  0.000  0.000
Si  0.500  0.500  0.500
Se  0.000  0.000  0.500
Br  0.000  0.500  0.000
Br  0.500  0.000  0.000

Properties
E_form (uncorrected)	1.8	eV/f.u.


Below is crystalline CoSnSeBr2 at its relaxed geometry, with properties calculated at the PBEsol level.

a = 4.765 Å, b = 4.765 Å, c = 4.830 Å
α = 90.00°, β = 90.00°, γ = 90.00°
Fractional coordinates of all 5 atoms:
Co  0.000  0.000  0.000
Sn  0.500  0.500  0.500
Se  0.000  0.000  0.500
Br  0.000  0.500  0.000
Br  0.500  0.000  0.000

Properties
E_form (uncorrected)	-0.4	eV/f.u.


Below is crystalline CoSiBr2 at its relaxed geometry, with properties calculated at the PBEsol level.

a = 8.977 Å, b = 8.977 Å, c = 8.977 Å
α = 21.16°, β = 21.16°, γ = 21.16°
Fractional coordinates of all 4 atoms:
Co  0.000  0.000  0.000
Si  0.500  0.500  0.500
Br  0.085  0.085  0.085
Br  0.915  0.915  0.915

Properties
E_form (uncorrected)	2.3	eV/f.u.
distance to the lowest polymorph of the same formula	64.2	kJ per mole of atoms


Below is crystalline CoSi2Br at its relaxed geometry, with properties calculated at the PBEsol level.

a = 2.983 Å, b = 4.101 Å, c = 4.865 Å
α = 90.00°, β = 90.00°, γ = 90.00°
Fractional coordinates of all 4 atoms:
Co  0.000  0.000  0.000
Si  0.000  0.500  0.500
Si  0.500  0.000  0.500
Br  0.500  0.500  0.000

Properties
E_form (uncorrected)	2.5	eV/f.u.
distance to the lowest polymorph of the same formula	40.5	kJ per mole of atoms


Below is crystalline Co2SiBr at its relaxed geometry, with properties calculated at the PBEsol level.

a = 3.611 Å, b = 3.611 Å, c = 5.270 Å
α = 90.00°, β = 90.00°, γ = 90.00°
Fractional coordinates of all 4 atoms:
Co  0.000  0.500  0.000
Co  0.500  0.000  0.000
Si  0.000  0.000  0.241
Br  0.500  0.500  0.727

Properties
E_form (uncorrected)	0.7	eV/f.u.
distance to the lowest polymorph of the same formula	20.4	kJ per mole of atoms


Below is crystalline CoSiBr at its relaxed geometry, with properties calculated at the PBEsol level.

a = 6.122 Å, b = 6.122 Å, c = 6.122 Å
α = 154.69°, β = 148.85°, γ = 40.55°
Fractional coordinates of all 3 atoms:
Co  0.000  0.000  0.000
Si  0.567  0.567  0.000
Br  0.791  0.791  0.000

Properties
E_form (uncorrected)	-0.1	eV/f.u.


Below is crystalline CoSiBr2 at its relaxed geometry, with properties calculated at the PBEsol level.

a = 4.659 Å, b = 4.659 Å, c = 4.659 Å
α = 60.00°, β = 60.00°, γ = 60.00°
Fractional coordinates of all 4 atoms:
Co  0.000  0.000  0.000
Si  0.500  0.500  0.500
Br  0.250  0.250  0.250
Br  0.750  0.750  0.750

Properties
E_form (uncorrected)	2.6	eV/f.u.
distance to the lowest polymorph of the same formula	71.1	kJ per mole of atoms


Below is crystalline Co2SiBr at its relaxed geometry, with properties calculated at the PBEsol level.

a = 6.560 Å, b = 6.560 Å, c = 6.560 Å
α = 135.61°, β = 135.61°, γ = 64.58°
Fractional coordinates of all 8 atoms:
Co  0.102  0.625  0.977
Co  0.375  0.352  0.477
Co  0.648  0.125  0.023
Co  0.875  0.898  0.523
Si  0.000  0.000  0.000
Si  0.750  0.250  0.500
Br  0.250  0.750  0.500
Br  0.500  0.500  0.000

Properties
E_form (uncorrected)	1.6	eV/f.u.
distance to the lowest polymorph of the same formula	43.1	kJ per mole of atoms


Below is crystalline CoSiBr2 at its relaxed geometry, with properties calculated at the PBEsol level.

a = 2.965 Å, b = 2.965 Å, c = 8.797 Å
α = 90.00°, β = 90.00°, γ = 90.00°
Fractional coordinates of all 4 atoms:
Co  0.000  0.000  0.000
Si  0.500  0.500  0.890
Br  0.000  0.000  0.264
Br  0.500  0.500  0.627

Properties
E_form (uncorrected)	-0.3	eV/f.u.
distance to the lowest polymorph of the same formula	0.0	kJ per mole of atoms


Below is crystalline CoSiBr2 at its relaxed geometry, with properties calculated at the PBEsol level.

a = 7.508 Å, b = 7.508 Å, c = 7.508 Å
α = 154.68°, β = 152.47°, γ = 37.75°
Fractional coordinates of all 4 atoms:
Co  0.000  0.000  0.000
Si  0.500  0.500  0.000
Br  0.145  0.645  0.500
Br  0.855  0.355  0.500

Properties
E_form (uncorrected)	0.2	eV/f.u.
distance to the lowest polymorph of the same formula	12.6	kJ per mole of atoms


Below is crystalline Co2SiBr at its relaxed geometry, with properties calculated at the PBEsol level.

a = 3.176 Å, b = 3.176 Å, c = 5.357 Å
α = 90.00°, β = 90.00°, γ = 90.00°
Fractional coordinates of all 4 atoms:
Co  0.000  0.000  0.000
Co  0.500  0.500  0.292
Si  0.000  0.000  0.423
Br  0.500  0.500  0.861

Properties
E_form (uncorrected)	0.8	eV/f.u.
distance to the lowest polymorph of the same formula	23.0	kJ per mole of atoms


Below is crystalline CoSi2Br at its relaxed geometry, with properties calculated at the PBEsol level.

a = 4.633 Å, b = 4.633 Å, c = 2.817 Å
α = 90.00°, β = 90.00°, γ = 90.00°
Fractional coordinates of all 4 atoms:
Co  0.000  0.000  0.000
Si  0.000  0.500  0.500
Si  0.500  0.000  0.500
Br  0.500  0.500  0.000

Properties
E_form (uncorrected)	2.7	eV/f.u.
distance to the lowest polymorph of the same formula	45.6	kJ per mole of atoms


Below is crystalline Co2SiBr at its relaxed geometry, with properties calculated at the PBEsol level.

a = 4.180 Å, b = 4.180 Å, c = 2.860 Å
α = 90.00°, β = 90.00°, γ = 90.56°
Fractional coordinates of all 4 atoms:
Co  0.000  0.500  0.000
Co  0.500  0.000  0.000
Si  0.000  0.000  0.500
Br  0.500  0.500  0.500

Properties
E_form (uncorrected)	1.8	eV/f.u.
distance to the lowest polymorph of the same formula	45.9	kJ per mole of atoms


Below is crystalline Co2SiBr at its relaxed geometry, with properties calculated at the PBEsol level.

a = 5.881 Å, b = 5.881 Å, c = 5.881 Å
α = 34.49°, β = 34.49°, γ = 34.49°
Fractional coordinates of all 4 atoms:
Co  0.222  0.222  0.222
Co  0.778  0.778  0.778
Si  0.500  0.500  0.500
Br  0.000  0.000  0.000

Properties
E_form (uncorrected)	0.2	eV/f.u.
distance to the lowest polymorph of the same formula	8.6	kJ per mole of atoms


Below is crystalline CoSiBr2 at its relaxed geometry, with properties calculated at the PBEsol level.

a = 6.330 Å, b = 6.330 Å, c = 6.330 Å
α = 145.81°, β = 145.81°, γ = 49.13°
Fractional coordinates of all 4 atoms:
Co  0.000  0.000  0.000
Si  0.750  0.250  0.500
Br  0.250  0.750  0.500
Br  0.500  0.500  0.000

Properties
E_form (uncorrected)	2.8	eV/f.u.
distance to the lowest polymorph of the same formula	76.1	kJ per mole of atoms


Below is crystalline Co2SiBr at its relaxed geometry, with properties calculated at the PBEsol level.

a = 2.801 Å, b = 2.880 Å, c = 6.590 Å
α = 90.00°, β = 90.00°, γ = 90.00°
Fractional coordinates of all 4 atoms:
Co  0.000  0.000  0.188
Co  0.000  0.000  0.812
Si  0.500  0.500  0.000
Br  0.500  0.000  0.500

Properties
E_form (uncorrected)	-0.1	eV/f.u.
distance to the lowest polymorph of the same formula	0.0	kJ per mole of atoms